(1)
Here is a relaxed ScTiCdS2 crystal from Alexandria via LeMat-Bulk. Energies are from PBE.

extended XYZ file:
```
5
Lattice="4.635 0.000 0.000 0.000 5.214 0.000 0.000 0.000 4.635" Properties=species:S:1:pos:R:3 pbc="T T T"
S 2.317 0.000 0.000
S 0.000 0.000 2.317
Cd 0.000 2.607 0.000
Sc 2.317 2.607 2.317
Ti 0.000 0.000 0.000
```

(2)
Here is a relaxed Ag2AsBr6 crystal from Alexandria via LeMat-Bulk. Energies are from PBE.

extended XYZ file:
```
18
Lattice="-4.031 5.092 -2.087 -3.160 -0.138 5.765 7.736 7.941 4.429" Properties=species:S:1:pos:R:3 pbc="T T T"
Br 2.870 8.216 7.208
Br -1.576 0.937 1.099
Br -2.371 2.847 4.227
Br 2.917 10.048 3.881
Br -2.325 4.679 0.899
Br -3.170 6.785 4.236
Br -0.659 9.357 5.655
Br 0.214 5.439 5.938
Br 2.121 11.958 7.008
Br 0.332 7.456 2.170
Br 1.205 3.537 2.453
Br 3.716 6.110 3.871
Ag 0.022 7.741 7.688
Ag 0.524 5.154 0.419
Ag 0.804 11.602 4.459
Ag -0.259 1.293 3.648
As 3.868 3.970 2.215
As -3.595 2.477 1.839
```

(3)
Here is a relaxed CsTe3Se crystal from Alexandria via LeMat-Bulk. Energies are from PBE.

extended XYZ file:
```
10
Lattice="-1.886 6.563 -0.425 -0.127 -1.003 7.987 8.388 -0.223 0.803" Properties=species:S:1:pos:R:3 pbc="T T T"
Te 5.290 0.315 1.007
Te 7.560 1.374 7.326
Te -0.018 3.342 4.451
Te 6.135 2.937 3.365
Te 2.594 5.134 2.655
Te 4.830 5.316 4.543
Se 3.907 2.485 1.608
Se 0.556 -0.572 5.921
Cs 0.960 0.232 1.656
Cs 3.501 1.682 5.872
```

| no. | energy (eV/f.u.) |
| --- | --- |
| 1 | -25.13 |
| 2 | -23.15 |
| 3 | -15.80 |